(1)
Density functional theory data (GGA-PBE) for RbSm2H after structural relaxation.

Its density is 5.1 g cm⁻³. The calculation puts the uncorrected energy at -3.360 eV/atom.

```
data_RbSm2H
_chemical_formula_sum 'Rb1 Sm2 H1'
_cell_length_a 3.7337
_cell_length_b 3.7337
_cell_length_c 10.6926
_cell_angle_alpha 79.94
_cell_angle_beta 79.94
_cell_angle_gamma 60.00
_space_group_name_H-M_alt 'P 1'
_space_group_IT_number 1
_space_group_name_Hall 'P 1'
loop_
_atom_site_label
_atom_site_fract_x
_atom_site_fract_y
_atom_site_fract_z
_atom_site_occupancy
H1 0.5000 0.5000 0.5000 1
Rb1 0.0000 0.0000 0.0000 1
Sm1 0.1236 0.1236 0.6291 1
Sm2 0.8764 0.8764 0.3709 1
```

***

(2)
Density functional theory data (GGA-PBE) for Rb4Sn2H after structural relaxation.

Its density is 2.6 g cm⁻³. The calculation puts the uncorrected energy at -2.206 eV/atom.

```
data_Rb4Sn2H
_chemical_formula_sum 'Rb4 Sn2 H1'
_cell_length_a 6.9373
_cell_length_b 6.9373
_cell_length_c 9.2347
_cell_angle_alpha 67.94
_cell_angle_beta 67.94
_cell_angle_gamma 90.00
_space_group_name_H-M_alt 'P 1'
_space_group_IT_number 1
_space_group_name_Hall 'P 1'
loop_
_atom_site_label
_atom_site_fract_x
_atom_site_fract_y
_atom_site_fract_z
_atom_site_occupancy
H1 0.0000 0.0000 0.0000 1
Sn1 0.5873 0.5873 0.8254 1
Sn2 0.4127 0.4127 0.1746 1
Rb1 0.8233 0.8233 0.3535 1
Rb2 0.1767 0.1767 0.6465 1
Rb3 0.0000 0.5000 0.0000 1
Rb4 0.5000 0.0000 0.0000 1
```

***

(3)
Density functional theory data (GGA-PBE) for RbSnH after structural relaxation.

For the distance to the lowest polymorph of the same formula, the calculation gives 1.74 eV per formula unit. Its density is 4.2 g cm⁻³.

```
data_RbSnH
_chemical_formula_sum 'Rb1 Sn1 H1'
_cell_length_a 3.3227
_cell_length_b 3.3227
_cell_length_c 7.6672
_cell_angle_alpha 102.51
_cell_angle_beta 102.51
_cell_angle_gamma 90.00
_space_group_name_H-M_alt 'P 1'
_space_group_IT_number 1
_space_group_name_Hall 'P 1'
loop_
_atom_site_label
_atom_site_fract_x
_atom_site_fract_y
_atom_site_fract_z
_atom_site_occupancy
H1 0.9204 0.9204 0.8408 1
Sn1 0.5927 0.5927 0.1854 1
Rb1 0.3369 0.3369 0.6738 1
```

***

(4)
Density functional theory data (GGA-PBE) for RbSnH2 after structural relaxation.

For the distance to the lowest polymorph of the same formula, the calculation gives 1.28 eV per formula unit. Its density is 3.8 g cm⁻³.

```
data_RbSnH2
_chemical_formula_sum 'Rb2 Sn2 H4'
_cell_length_a 5.3876
_cell_length_b 5.3876
_cell_length_c 7.2484
_cell_angle_alpha 68.18
_cell_angle_beta 68.18
_cell_angle_gamma 90.00
_space_group_name_H-M_alt 'P 1'
_space_group_IT_number 1
_space_group_name_Hall 'P 1'
loop_
_atom_site_label
_atom_site_fract_x
_atom_site_fract_y
_atom_site_fract_z
_atom_site_occupancy
H1 0.7719 0.1250 0.2500 1
H2 0.9781 0.6250 0.2500 1
H3 0.3750 0.2281 0.7500 1
H4 0.8750 0.0219 0.7500 1
Sn1 0.0000 0.0000 0.0000 1
Sn2 0.7500 0.2500 0.5000 1
Rb1 0.5000 0.5000 0.0000 1
Rb2 0.2500 0.7500 0.5000 1
```

***

(5)
Density functional theory data (GGA-PBE) for RbSn2H after structural relaxation.

For the distance to the lowest polymorph of the same formula, the calculation gives 2.54 eV per formula unit. Its density is 4.8 g cm⁻³.

```
data_RbSn2H
_chemical_formula_sum 'Rb1 Sn2 H1'
_cell_length_a 5.4203
_cell_length_b 5.4203
_cell_length_c 5.4203
_cell_angle_alpha 60.00
_cell_angle_beta 60.00
_cell_angle_gamma 60.00
_space_group_name_H-M_alt 'P 1'
_space_group_IT_number 1
_space_group_name_Hall 'P 1'
loop_
_atom_site_label
_atom_site_fract_x
_atom_site_fract_y
_atom_site_fract_z
_atom_site_occupancy
H1 0.0000 0.0000 0.0000 1
Sn1 0.2500 0.2500 0.2500 1
Sn2 0.7500 0.7500 0.7500 1
Rb1 0.5000 0.5000 0.5000 1
```

***

(6)
Density functional theory data (GGA-PBE) for RbSn2H after structural relaxation.

For the distance to the lowest polymorph of the same formula, the calculation gives 0.00 eV per formula unit. Its density is 4.5 g cm⁻³.

```
data_RbSn2H
_chemical_formula_sum 'Rb2 Sn4 H2'
_cell_length_a 6.9111
_cell_length_b 6.9111
_cell_length_c 7.0062
_cell_angle_alpha 60.45
_cell_angle_beta 60.45
_cell_angle_gamma 90.00
_space_group_name_H-M_alt 'P 1'
_space_group_IT_number 1
_space_group_name_Hall 'P 1'
loop_
_atom_site_label
_atom_site_fract_x
_atom_site_fract_y
_atom_site_fract_z
_atom_site_occupancy
H1 0.5000 0.5000 0.0000 1
H2 0.2500 0.7500 0.5000 1
Sn1 0.3758 0.1250 0.2500 1
Sn2 0.3742 0.6250 0.2500 1
Sn3 0.3750 0.6242 0.7500 1
Sn4 0.8750 0.6258 0.7500 1
Rb1 0.0000 0.0000 0.0000 1
Rb2 0.7500 0.2500 0.5000 1
```

***

(7)
Density functional theory data (GGA-PBE) for Rb2SnH4 after structural relaxation.

For the distance to the lowest polymorph of the same formula, the calculation gives 0.89 eV per formula unit. Its density is 3.4 g cm⁻³.

```
data_Rb2SnH4
_chemical_formula_sum 'Rb2 Sn1 H4'
_cell_length_a 4.4173
_cell_length_b 4.4173
_cell_length_c 7.9503
_cell_angle_alpha 73.87
_cell_angle_beta 73.87
_cell_angle_gamma 90.00
_space_group_name_H-M_alt 'P 1'
_space_group_IT_number 1
_space_group_name_Hall 'P 1'
loop_
_atom_site_label
_atom_site_fract_x
_atom_site_fract_y
_atom_site_fract_z
_atom_site_occupancy
H1 0.8469 0.8469 0.3062 1
H2 0.1531 0.1531 0.6938 1
H3 0.0000 0.5000 0.0000 1
H4 0.5000 0.0000 0.0000 1
Sn1 0.0000 0.0000 0.0000 1
Rb1 0.6437 0.6437 0.7126 1
Rb2 0.3563 0.3563 0.2874 1
```

***

(8)
Density functional theory data (GGA-PBE) for Rb2Sn2H5 after structural relaxation.

Its density is 4.1 g cm⁻³. The calculation puts the uncorrected energy at -2.930 eV/atom.

```
data_Rb2Sn2H5
_chemical_formula_sum 'Rb2 Sn2 H5'
_cell_length_a 3.3465
_cell_length_b 7.5096
_cell_length_c 6.9287
_cell_angle_alpha 81.93
_cell_angle_beta 90.00
_cell_angle_gamma 102.87
_space_group_name_H-M_alt 'P 1'
_space_group_IT_number 1
_space_group_name_Hall 'P 1'
loop_
_atom_site_label
_atom_site_fract_x
_atom_site_fract_y
_atom_site_fract_z
_atom_site_occupancy
Rb1 0.6438 0.2877 0.7734 1
Rb2 0.3562 0.7123 0.2266 1
Sn1 0.9184 0.8367 0.7233 1
Sn2 0.0816 0.1633 0.2767 1
H1 0.8206 0.6412 0.9187 1
H2 0.1794 0.3588 0.0813 1
H3 0.8285 0.6570 0.5533 1
H4 0.1715 0.3430 0.4467 1
H5 0.0000 0.0000 0.0000 1
```